# 1
The following is a PBE-GGA calculation of a relaxed structure of NaAuSeO, from OQMD via LeMat-Bulk.

Summary:
Energy relative to the lowest polymorph listed for this composition (eV per formula unit): 0.00

Cell and atoms, written as CIF:
```
data_NaAuSeO
_symmetry_space_group_name_H-M 'P 1 21/c 1'
_symmetry_Int_Tables_number 14
_symmetry_space_group_name_Hall '-P 2ybc'
_cell_length_a 5.651
_cell_length_b 6.497
_cell_length_c 9.375
_cell_angle_alpha 90.00
_cell_angle_beta 98.51
_cell_angle_gamma 90.00
loop_
_atom_site_label
_atom_site_type_symbol
_atom_site_fract_x
_atom_site_fract_y
_atom_site_fract_z
_atom_site_occupancy
Na1 Na 0.217 0.170 0.002 1
Au1 Au 0.228 0.613 0.863 1
Se1 Se 0.353 0.662 0.114 1
O1 O 0.143 0.612 0.640 1
```

=====

# 2
The following is a PBE-GGA calculation of a relaxed structure of KCu4Sb2, from OQMD via LeMat-Bulk.

Summary:
Total energy (eV/atom): -3.594

Cell and atoms, written as CIF:
```
data_KCu4Sb2
_symmetry_space_group_name_H-M 'R -3 m'
_symmetry_Int_Tables_number 166
_symmetry_space_group_name_Hall '-R 3 2"'
_cell_length_a 4.3012
_cell_length_b 4.3012
_cell_length_c 27.2052
_cell_angle_alpha 90.00
_cell_angle_beta 90.00
_cell_angle_gamma 120.00
loop_
_atom_site_label
_atom_site_type_symbol
_atom_site_fract_x
_atom_site_fract_y
_atom_site_fract_z
_atom_site_occupancy
K1 K 0.0000 0.0000 0.0000 1
Cu1 Cu 0.0000 0.0000 0.1435 1
Cu2 Cu 0.0000 0.0000 0.4528 1
Sb1 Sb 0.0000 0.0000 0.2423 1
```

=====

# 3
The following is a PBE-GGA calculation of a relaxed structure of TbDy2Mg3Tl2Ga, from OQMD via LeMat-Bulk.

Summary:
Total energy (eV/atom): -3.285

Cell and atoms, written as CIF:
```
data_TbDy2Mg3Tl2Ga
_symmetry_space_group_name_H-M 'A m m 2'
_symmetry_Int_Tables_number 38
_symmetry_space_group_name_Hall 'A 2 -2'
_cell_length_a 4.545
_cell_length_b 13.055
_cell_length_c 7.519
_cell_angle_alpha 90.00
_cell_angle_beta 90.00
_cell_angle_gamma 90.00
loop_
_atom_site_label
_atom_site_type_symbol
_atom_site_fract_x
_atom_site_fract_y
_atom_site_fract_z
_atom_site_occupancy
Tb1 Tb 0.000 0.000 0.000 1
Dy1 Dy 0.000 0.208 0.624 1
Mg1 Mg 0.500 0.000 0.653 1
Mg2 Mg 0.500 0.118 0.298 1
Tl1 Tl 0.500 0.167 0.916 1
Ga1 Ga 0.000 0.000 0.417 1
```

=====

# 4
The following is a PBE-GGA calculation of a relaxed structure of TbY2In3PdAu2, from OQMD via LeMat-Bulk.

Summary:
Total energy (eV/atom): -4.967

Cell and atoms, written as CIF:
```
data_TbY2In3PdAu2
_symmetry_space_group_name_H-M 'A m m 2'
_symmetry_Int_Tables_number 38
_symmetry_space_group_name_Hall 'A 2 -2'
_cell_length_a 3.924
_cell_length_b 13.472
_cell_length_c 7.776
_cell_angle_alpha 90.00
_cell_angle_beta 90.00
_cell_angle_gamma 90.00
loop_
_atom_site_label
_atom_site_type_symbol
_atom_site_fract_x
_atom_site_fract_y
_atom_site_fract_z
_atom_site_occupancy
Tb1 Tb 0.000 0.000 0.000 1
Y1 Y 0.000 0.202 0.608 1
In1 In 0.500 0.000 0.660 1
In2 In 0.500 0.128 0.278 1
Pd1 Pd 0.000 0.000 0.405 1
Au1 Au 0.500 0.167 0.906 1
```

=====

# 5
The following is a PBE-GGA calculation of a relaxed structure of UCdMo, from OQMD via LeMat-Bulk.

Summary:
Energy relative to the lowest polymorph listed for this composition (eV per formula unit): 1.45
Formation enthalpy at 0 K (meV/atom): 1418

Cell and atoms, written as CIF:
```
data_UCdMo
_symmetry_space_group_name_H-M 'F -4 3 m'
_symmetry_Int_Tables_number 216
_symmetry_space_group_name_Hall 'F -4 2 3'
_cell_length_a 6.577
_cell_length_b 6.577
_cell_length_c 6.577
_cell_angle_alpha 90.00
_cell_angle_beta 90.00
_cell_angle_gamma 90.00
loop_
_atom_site_label
_atom_site_type_symbol
_atom_site_fract_x
_atom_site_fract_y
_atom_site_fract_z
_atom_site_occupancy
U1 U 0.000 0.000 0.000 1
Cd1 Cd 0.250 0.250 0.750 1
Mo1 Mo 0.250 0.250 0.250 1
```

=====

# 6
The following is a PBE-GGA calculation of a relaxed structure of KNdSeO, from OQMD via LeMat-Bulk.

Summary:
Energy relative to the lowest polymorph listed for this composition (eV per formula unit): 0.64

Cell and atoms, written as CIF:
```
data_KNdSeO
_symmetry_space_group_name_H-M 'P 4/n m m'
_symmetry_Int_Tables_number 129
_cell_length_a 4.234
_cell_length_b 4.234
_cell_length_c 10.257
_cell_angle_alpha 90.00
_cell_angle_beta 90.00
_cell_angle_gamma 90.00
loop_
_symmetry_equiv_pos_as_xyz
'x,y,z'
'-x,-y,-z'
'-y+1/2,x,z'
'y+1/2,-x,-z'
'-x+1/2,-y+1/2,z'
'x+1/2,y+1/2,-z'
'y,-x+1/2,z'
'-y,x+1/2,-z'
'x+1/2,-y,-z'
'-x+1/2,y,z'
'-y,-x,-z'
'y,x,z'
'-x,y+1/2,-z'
'x,-y+1/2,z'
'y+1/2,x+1/2,-z'
'-y+1/2,-x+1/2,z'
loop_
_atom_site_label
_atom_site_type_symbol
_atom_site_fract_x
_atom_site_fract_y
_atom_site_fract_z
_atom_site_occupancy
K1 K 0.250 0.750 0.000 1
Nd1 Nd 0.250 0.250 0.395 1
Se1 Se 0.250 0.250 0.776 1
O1 O 0.250 0.750 0.500 1
```

=====

# 7
The following is a PBE-GGA calculation of a relaxed structure of LaTaGe, from OQMD via LeMat-Bulk.

Summary:
Total energy (eV/atom): -5.960

Cell and atoms, written as CIF:
```
data_LaTaGe
_symmetry_space_group_name_H-M 'F -4 3 m'
_symmetry_Int_Tables_number 216
_symmetry_space_group_name_Hall 'F -4 2 3'
_cell_length_a 7.007
_cell_length_b 7.007
_cell_length_c 7.007
_cell_angle_alpha 90.00
_cell_angle_beta 90.00
_cell_angle_gamma 90.00
loop_
_atom_site_label
_atom_site_type_symbol
_atom_site_fract_x
_atom_site_fract_y
_atom_site_fract_z
_atom_site_occupancy
La1 La 0.000 0.000 0.000 1
Ta1 Ta 0.250 0.250 0.250 1
Ge1 Ge 0.250 0.250 0.750 1
```

=====

# 8
The following is a PBE-GGA calculation of a relaxed structure of NaCo2As2Pd, from OQMD via LeMat-Bulk.

Summary:
Total energy (eV/atom): -5.319

Cell and atoms, written as CIF:
```
data_NaCo2As2Pd
_symmetry_space_group_name_H-M 'P 4 m m'
_symmetry_Int_Tables_number 99
_symmetry_space_group_name_Hall 'P 4 -2'
_cell_length_a 3.787
_cell_length_b 3.787
_cell_length_c 6.320
_cell_angle_alpha 90.00
_cell_angle_beta 90.00
_cell_angle_gamma 90.00
loop_
_atom_site_label
_atom_site_type_symbol
_atom_site_fract_x
_atom_site_fract_y
_atom_site_fract_z
_atom_site_occupancy
Na1 Na 0.000 0.000 0.000 1
Co1 Co 0.000 0.500 0.638 1
As1 As 0.000 0.000 0.422 1
As2 As 0.500 0.500 0.859 1
Pd1 Pd 0.500 0.500 0.296 1
```

=====

# 9
The following is a PBE-GGA calculation of a relaxed structure of RbZrFeSe3, from OQMD via LeMat-Bulk.

Summary:
Total energy (eV/atom): -5.769

Cell and atoms, written as CIF:
```
data_RbZrFeSe3
_symmetry_space_group_name_H-M 'P 1 21/m 1'
_symmetry_Int_Tables_number 11
_symmetry_space_group_name_Hall '-P 2yb'
_cell_length_a 9.139
_cell_length_b 3.860
_cell_length_c 9.983
_cell_angle_alpha 90.00
_cell_angle_beta 114.75
_cell_angle_gamma 90.00
loop_
_atom_site_label
_atom_site_type_symbol
_atom_site_fract_x
_atom_site_fract_y
_atom_site_fract_z
_atom_site_occupancy
Rb1 Rb 0.233 0.250 0.258 1
Zr1 Zr 0.314 0.750 0.836 1
Fe1 Fe 0.069 0.250 0.592 1
Se1 Se 0.113 0.250 0.851 1
Se2 Se 0.223 0.750 0.544 1
Se3 Se 0.462 0.750 0.142 1
```

=====

# 10
The following is a PBE-GGA calculation of a relaxed structure of PmAl5Ag7, from OQMD via LeMat-Bulk.

Summary:
Total energy (eV/atom): -3.549

Cell and atoms, written as CIF:
```
data_PmAl5Ag7
_symmetry_space_group_name_H-M 'I m m 2'
_symmetry_Int_Tables_number 44
_symmetry_space_group_name_Hall 'I 2 -2'
_cell_length_a 5.400
_cell_length_b 9.336
_cell_length_c 9.226
_cell_angle_alpha 90.00
_cell_angle_beta 90.00
_cell_angle_gamma 90.00
loop_
_atom_site_label
_atom_site_type_symbol
_atom_site_fract_x
_atom_site_fract_y
_atom_site_fract_z
_atom_site_occupancy
Pm1 Pm 0.000 0.000 0.000 1
Al1 Al 0.000 0.500 0.276 1
Al2 Al 0.248 0.254 0.748 1
Ag1 Ag 0.000 0.000 0.347 1
Ag2 Ag 0.000 0.000 0.663 1
Ag3 Ag 0.000 0.292 0.494 1
Ag4 Ag 0.000 0.345 0.005 1
Ag5 Ag 0.000 0.500 0.722 1
```

=====

# 11
The following is a PBE-GGA calculation of a relaxed structure of HfAlB4, from OQMD via LeMat-Bulk.

Summary:
Total energy (eV/atom): -7.187

Cell and atoms, written as CIF:
```
data_HfAlB4
_symmetry_space_group_name_H-M 'P 6/m m m'
_symmetry_Int_Tables_number 191
_symmetry_space_group_name_Hall '-P 6 2'
_cell_length_a 3.0503
_cell_length_b 3.0503
_cell_length_c 6.9107
_cell_angle_alpha 90.00
_cell_angle_beta 90.00
_cell_angle_gamma 120.00
loop_
_atom_site_label
_atom_site_type_symbol
_atom_site_fract_x
_atom_site_fract_y
_atom_site_fract_z
_atom_site_occupancy
Hf1 Hf 0.0000 0.0000 0.0000 1
Al1 Al 0.0000 0.0000 0.5000 1
B1 B 0.3333 0.6667 0.2648 1
```

=====

# 12
The following is a PBE-GGA calculation of a relaxed structure of YCdIn, from OQMD via LeMat-Bulk.

Summary:
Total energy (eV/atom): -3.786

Cell and atoms, written as CIF:
```
data_YCdIn
_symmetry_space_group_name_H-M 'I m m 2'
_symmetry_Int_Tables_number 44
_symmetry_space_group_name_Hall 'I 2 -2'
_cell_length_a 4.902
_cell_length_b 7.198
_cell_length_c 8.522
_cell_angle_alpha 90.00
_cell_angle_beta 90.00
_cell_angle_gamma 90.00
loop_
_atom_site_label
_atom_site_type_symbol
_atom_site_fract_x
_atom_site_fract_y
_atom_site_fract_z
_atom_site_occupancy
Y1 Y 0.000 0.000 0.000 1
Y2 Y 0.000 0.500 0.001 1
Cd1 Cd 0.000 0.221 0.332 1
In1 In 0.000 0.231 0.668 1
```

=====

# 13
The following is a PBE-GGA calculation of a relaxed structure of Si2GeMo, from OQMD via LeMat-Bulk.

Summary:
Total energy (eV/atom): -6.084

Cell and atoms, written as CIF:
```
data_Si2GeMo
_symmetry_space_group_name_H-M 'F -4 3 m'
_symmetry_Int_Tables_number 216
_symmetry_space_group_name_Hall 'F -4 2 3'
_cell_length_a 6.244
_cell_length_b 6.244
_cell_length_c 6.244
_cell_angle_alpha 90.00
_cell_angle_beta 90.00
_cell_angle_gamma 90.00
loop_
_atom_site_label
_atom_site_type_symbol
_atom_site_fract_x
_atom_site_fract_y
_atom_site_fract_z
_atom_site_occupancy
Si1 Si 0.000 0.000 0.000 1
Si2 Si 0.250 0.250 0.250 1
Ge1 Ge 0.000 0.000 0.500 1
Mo1 Mo 0.250 0.250 0.750 1
```

=====

# 14
The following is a PBE-GGA calculation of a relaxed structure of Cu7Ag3, from OQMD via LeMat-Bulk.

Summary:
Energy relative to the lowest polymorph listed for this composition (eV per formula unit): 0.37
Formation enthalpy at 0 K (meV/atom): 82

Cell and atoms, written as CIF:
```
data_Cu7Ag3
_symmetry_space_group_name_H-M 'P -1'
_symmetry_Int_Tables_number 2
_symmetry_space_group_name_Hall '-P 1'
_cell_length_a 4.614
_cell_length_b 4.671
_cell_length_c 7.097
_cell_angle_alpha 107.65
_cell_angle_beta 102.40
_cell_angle_gamma 100.35
loop_
_atom_site_label
_atom_site_type_symbol
_atom_site_fract_x
_atom_site_fract_y
_atom_site_fract_z
_atom_site_occupancy
Cu1 Cu 0.000 0.000 0.000 1
Cu2 Cu 0.126 0.216 0.725 1
Cu3 Cu 0.293 0.601 0.089 1
Cu4 Cu 0.417 0.809 0.820 1
Ag1 Ag 0.180 0.385 0.384 1
Ag2 Ag 0.500 0.000 0.500 1
```

=====

# 15
The following is a PBE-GGA calculation of a relaxed structure of TbTlZnSe3, from OQMD via LeMat-Bulk.

Summary:
Energy relative to the lowest polymorph listed for this composition (eV per formula unit): 0.00

Cell and atoms, written as CIF:
```
data_TbTlZnSe3
_symmetry_space_group_name_H-M 'P n m a'
_symmetry_Int_Tables_number 62
_symmetry_space_group_name_Hall '-P 2ac 2n'
_cell_length_a 10.986
_cell_length_b 4.126
_cell_length_c 14.833
_cell_angle_alpha 90.00
_cell_angle_beta 90.00
_cell_angle_gamma 90.00
loop_
_atom_site_label
_atom_site_type_symbol
_atom_site_fract_x
_atom_site_fract_y
_atom_site_fract_z
_atom_site_occupancy
Tb1 Tb 0.006 0.250 0.247 1
Tl1 Tl 0.238 0.750 0.502 1
Zn1 Zn 0.245 0.250 0.714 1
Se1 Se 0.057 0.250 0.624 1
Se2 Se 0.071 0.750 0.120 1
Se3 Se 0.246 0.750 0.817 1
```

=====

# 16
The following is a PBE-GGA calculation of a relaxed structure of FeCuBPd, from OQMD via LeMat-Bulk.

Summary:
Energy relative to the lowest polymorph listed for this composition (eV per formula unit): 0.00

Cell and atoms, written as CIF:
```
data_FeCuBPd
_symmetry_space_group_name_H-M 'F -4 3 m'
_symmetry_Int_Tables_number 216
_symmetry_space_group_name_Hall 'F -4 2 3'
_cell_length_a 5.703
_cell_length_b 5.703
_cell_length_c 5.703
_cell_angle_alpha 90.00
_cell_angle_beta 90.00
_cell_angle_gamma 90.00
loop_
_atom_site_label
_atom_site_type_symbol
_atom_site_fract_x
_atom_site_fract_y
_atom_site_fract_z
_atom_site_occupancy
Fe1 Fe 0.000 0.000 0.000 1
Cu1 Cu 0.250 0.250 0.750 1
B1 B 0.000 0.000 0.500 1
Pd1 Pd 0.250 0.250 0.250 1
```

=====

# 17
The following is a PBE-GGA calculation of a relaxed structure of MgZrTcBi, from OQMD via LeMat-Bulk.

Summary:
Energy relative to the lowest polymorph listed for this composition (eV per formula unit): 0.00

Cell and atoms, written as CIF:
```
data_MgZrTcBi
_symmetry_space_group_name_H-M 'F -4 3 m'
_symmetry_Int_Tables_number 216
_symmetry_space_group_name_Hall 'F -4 2 3'
_cell_length_a 6.775
_cell_length_b 6.775
_cell_length_c 6.775
_cell_angle_alpha 90.00
_cell_angle_beta 90.00
_cell_angle_gamma 90.00
loop_
_atom_site_label
_atom_site_type_symbol
_atom_site_fract_x
_atom_site_fract_y
_atom_site_fract_z
_atom_site_occupancy
Mg1 Mg 0.000 0.000 0.000 1
Zr1 Zr 0.250 0.250 0.750 1
Tc1 Tc 0.000 0.000 0.500 1
Bi1 Bi 0.250 0.250 0.250 1
```

=====

# 18
The following is a PBE-GGA calculation of a relaxed structure of CuSi5Pd3, from OQMD via LeMat-Bulk.

Summary:
Total energy (eV/atom): -5.001

Cell and atoms, written as CIF:
```
data_CuSi5Pd3
_symmetry_space_group_name_H-M 'P 6/m m m'
_symmetry_Int_Tables_number 191
_symmetry_space_group_name_Hall '-P 6 2'
_cell_length_a 5.4129
_cell_length_b 5.4129
_cell_length_c 6.0781
_cell_angle_alpha 90.00
_cell_angle_beta 90.00
_cell_angle_gamma 120.00
loop_
_atom_site_label
_atom_site_type_symbol
_atom_site_fract_x
_atom_site_fract_y
_atom_site_fract_z
_atom_site_occupancy
Cu1 Cu 0.0000 0.0000 0.0000 1
Si1 Si 0.0000 0.0000 0.5000 1
Si2 Si 0.3333 0.6667 0.1866 1
Pd1 Pd 0.0000 0.5000 0.5000 1
```

=====

# 19
The following is a PBE-GGA calculation of a relaxed structure of NdPbO3, from OQMD via LeMat-Bulk.

Summary:
Total energy (eV/atom): -6.670

Cell and atoms, written as CIF:
```
data_NdPbO3
_symmetry_space_group_name_H-M 'I m m a'
_symmetry_Int_Tables_number 74
_symmetry_space_group_name_Hall '-I 2b 2'
_cell_length_a 6.068
_cell_length_b 8.843
_cell_length_c 5.966
_cell_angle_alpha 90.00
_cell_angle_beta 90.00
_cell_angle_gamma 90.00
loop_
_atom_site_label
_atom_site_type_symbol
_atom_site_fract_x
_atom_site_fract_y
_atom_site_fract_z
_atom_site_occupancy
Nd1 Nd 0.000 0.250 0.042 1
Pb1 Pb 0.000 0.000 0.500 1
O1 O 0.000 0.250 0.659 1
O2 O 0.250 0.092 0.250 1
```

=====

# 20
The following is a PBE-GGA calculation of a relaxed structure of TcSbTe, from OQMD via LeMat-Bulk.

Summary:
Energy relative to the lowest polymorph listed for this composition (eV per formula unit): 0.00

Cell and atoms, written as CIF:
```
data_TcSbTe
_symmetry_space_group_name_H-M 'P 1 21/c 1'
_symmetry_Int_Tables_number 14
_symmetry_space_group_name_Hall '-P 2ybc'
_cell_length_a 6.674
_cell_length_b 6.765
_cell_length_c 6.843
_cell_angle_alpha 90.00
_cell_angle_beta 119.05
_cell_angle_gamma 90.00
loop_
_atom_site_label
_atom_site_type_symbol
_atom_site_fract_x
_atom_site_fract_y
_atom_site_fract_z
_atom_site_occupancy
Tc1 Tc 0.245 0.002 0.001 1
Sb1 Sb 0.348 0.655 0.199 1
Te1 Te 0.158 0.134 0.322 1
```